# RbVGa2Cl8 PBE-GGA relaxed
data_RbVGa2Cl8
_cell_length_a 6.457
_cell_length_b 6.457
_cell_length_c 10.090
_cell_angle_alpha 71.34
_cell_angle_beta 71.34
_cell_angle_gamma 60.00
_symmetry_space_group_name_H-M 'P 1'
_symmetry_Int_Tables_number 1
loop_
_symmetry_equiv_pos_as_xyz
'x,y,z'
loop_
_atom_site_label
_atom_site_type_symbol
_atom_site_fract_x
_atom_site_fract_y
_atom_site_fract_z
Ga1 Ga 0.264 0.264 0.208
Ga2 Ga 0.736 0.736 0.792
Cl1 Cl 0.067 0.351 0.848
Cl2 Cl 0.933 0.649 0.152
Cl3 Cl 0.351 0.735 0.848
Cl4 Cl 0.816 0.816 0.551
Cl5 Cl 0.649 0.265 0.152
Cl6 Cl 0.184 0.184 0.449
Cl7 Cl 0.735 0.067 0.848
Cl8 Cl 0.265 0.933 0.152
Rb1 Rb 0.500 0.500 0.500
V1 V 0.000 0.000 0.000
# E_tot: -3.720 eV/atom
# space-group type: R-3 (148)
# formation energy (no corrections): -1.144 eV per atom